TaCd2InH: optimized geometry, GGA-PBEsol.

```
5
Lattice="3.404 0.000 0.000 0.000 5.566 0.000 0.000 0.000 5.566" Properties=species:S:1:pos:R:3 pbc="T T T"
Cd 0.000 0.000 2.783
Cd 0.000 2.783 0.000
In 1.702 2.783 2.783
H 1.702 0.000 0.000
Ta 0.000 0.000 0.000
```

Computed properties:
SG = No. 123
N(E_F) = 2.79 states/eV per cell
Magnetization = 0.00 μB/f.u.
E = -3.54 eV per atom